Record 1
# ErZn10Ag PBE optimized geometry
data_ErZn10Ag
_chemical_formula_sum 'Er1 Zn10 Ag1'
_space_group_name_H-M_alt 'P m m m'
_space_group_IT_number 47
_space_group_name_Hall '-P 2 2'
_cell_length_a 4.328
_cell_length_b 5.094
_cell_length_c 9.100
_cell_angle_alpha 90.00
_cell_angle_beta 90.00
_cell_angle_gamma 90.00
loop_
_atom_site_label
_atom_site_fract_x
_atom_site_fract_y
_atom_site_fract_z
_atom_site_occupancy
Er1 0.000 0.000 0.000 1
Zn1 0.000 0.000 0.344 1
Zn2 0.000 0.500 0.190 1
Zn3 0.500 0.000 0.500 1
Zn4 0.500 0.242 0.239 1
Zn5 0.500 0.500 0.000 1
Ag1 0.000 0.500 0.500 1
# ΔH_f (0 K)	-93	meV per atom
# V	200.67	Å³ per cell

Record 2
# ErZn9Ag2 PBE optimized geometry
data_ErZn9Ag2
_chemical_formula_sum 'Er3 Zn27 Ag6'
_space_group_name_H-M_alt 'R -3 m'
_space_group_IT_number 166
_space_group_name_Hall '-R 3 2"'
_cell_length_a 5.2127
_cell_length_b 5.2127
_cell_length_c 24.9122
_cell_angle_alpha 90.00
_cell_angle_beta 90.00
_cell_angle_gamma 120.00
loop_
_atom_site_label
_atom_site_fract_x
_atom_site_fract_y
_atom_site_fract_z
_atom_site_occupancy
Er1 0.0000 0.0000 0.0000 1
Zn1 0.0000 0.0000 0.3336 1
Zn2 0.0000 0.0000 0.5000 1
Zn3 0.0054 0.5027 0.9141 1
Ag1 0.0000 0.0000 0.1374 1
# ΔH_f (0 K)	-132	meV per atom
# V	586.23	Å³ per cell